*one*
BiBSCl2 | GGA-PBE | relaxed

Cell: 5.3921 5.3921 5.4022 Å, 90.00 90.00 90.00°
Last column: magnetic moment on the atom in μB.
Fractional positions:
B1 0.5000 0.5000 0.5000  -0.05
S1 0.0000 0.0000 0.5000  0.01
Bi1 0.0000 0.0000 0.0000  0.00
Cl1 0.0000 0.5000 0.0000  0.00
Cl2 0.5000 0.0000 0.0000  0.00

Properties
Calculated volume in A^3/atom: 31.4
Crystal system: tetragonal
SG: P4/mmm

*two*
BiBSCl2 | GGA-PBE | relaxed

Cell: 4.3948 4.3948 4.6662 Å, 90.00 90.00 90.00°
Fractional positions:
Cl1 0.0000 0.5000 0.0000
Cl2 0.5000 0.0000 0.0000
Bi1 0.5000 0.5000 0.5000
B1 0.0000 0.0000 0.0000
S1 0.0000 0.0000 0.5000

Properties
Calculated volume in A^3/atom: 18.0
Crystal system: tetragonal
SG: P4/mmm

Energies, relative to the best one, in meV per atom: *one* 400; *two* 0.

*one*
BiBS2Cl | GGA-PBE | relaxed

Cell: 4.4920 4.4920 4.2639 Å, 90.00 90.00 90.00°
Fractional positions:
B1 0.0000 0.0000 0.0000
Bi1 0.5000 0.5000 0.5000
S1 0.5000 0.0000 0.0000
S2 0.0000 0.5000 0.0000
Cl1 0.0000 0.0000 0.5000

Properties
Calculated volume in A^3/atom: 17.2
Crystal system: tetragonal
SG: P4/mmm

*two*
BiBS2Cl | GGA-PBE | relaxed

Cell: 5.2439 5.2439 5.3854 Å, 90.00 90.00 90.00°
Fractional positions:
B1 0.5000 0.5000 0.5000
Cl1 0.0000 0.0000 0.5000
S1 0.5000 0.0000 0.0000
S2 0.0000 0.5000 0.0000
Bi1 0.0000 0.0000 0.0000

Properties
Calculated volume in A^3/atom: 29.6
Crystal system: tetragonal
SG: P4/mmm

Energies, relative to the best one, in meV per atom: *one* 0; *two* 763.

*one*
ZnBi2BCl | GGA-PBE | relaxed

Cell: 5.3968 3.9549 5.3968 Å, 90.00 90.00 90.00°
Fractional positions:
Zn1 0.0000 0.5000 0.0000
Bi1 0.0000 0.0000 0.5000
Bi2 0.5000 0.0000 0.0000
B1 0.0000 0.0000 0.0000
Cl1 0.5000 0.5000 0.5000

Properties
Calculated volume in A^3/atom: 23.0
Crystal system: tetragonal
SG: P4/mmm

*two*
ZnBi2BCl | GGA-PBE | relaxed

Cell: 5.4344 4.7014 5.4344 Å, 90.00 90.00 90.00°
Fractional positions:
Bi1 0.0000 0.0000 0.5000
Bi2 0.5000 0.0000 0.0000
Cl1 0.0000 0.5000 0.0000
B1 0.5000 0.5000 0.5000
Zn1 0.0000 0.0000 0.0000

Properties
Calculated volume in A^3/atom: 27.8
Crystal system: tetragonal
SG: P4/mmm

Energies, relative to the best one, in meV per atom: *one* 0; *two* 736.

*one*
CrBi2B2 | GGA-PBE | relaxed

Cell: 5.4470 5.4470 4.9020 Å, 56.25 56.25 90.00°
Last column: magnetic moment on the atom in μB.
Fractional positions:
Bi1 0.2500 0.7500 0.5000  -0.11
Bi2 0.7500 0.2500 0.5000  -0.11
Cr1 0.0000 0.0000 0.0000  2.76
B1 0.6372 0.6372 0.7256  -0.06
B2 0.3628 0.3628 0.2744  -0.06

Properties
Calculated volume in A^3/atom: 18.0
Crystal system: tetragonal
SG: I4/mmm

*two*
CrBi2B2 | GGA-PBE | relaxed

Cell: 6.1955 6.1955 4.9695 Å, 90.00 90.00 90.00°
Last column: magnetic moment on the atom in μB.
Fractional positions:
Cr1 0.5000 0.5000 0.0000  2.13
Cr2 0.0000 0.0000 0.0000  2.11
Bi1 0.1819 0.6819 0.5000  -0.07
Bi2 0.3181 0.1819 0.5000  -0.07
Bi3 0.6819 0.8181 0.5000  -0.07
Bi4 0.8181 0.3181 0.5000  -0.07
B1 0.2552 0.7552 0.0000  -0.10
B2 0.2448 0.2552 0.0000  -0.10
B3 0.7448 0.2448 0.0000  -0.10
B4 0.7552 0.7448 0.0000  -0.10

Properties
Calculated volume in A^3/atom: 19.1
Crystal system: tetragonal
SG: P4/mbm

Energies, relative to the best one, in meV per atom: *one* 0; *two* 261.

*one*
Cu2BiB | GGA-PBE | relaxed

Cell: 4.4823 4.4823 4.4823 Å, 60.00 60.00 60.00°
Fractional positions:
Bi1 0.5000 0.5000 0.5000
Cu1 0.2500 0.2500 0.2500
Cu2 0.7500 0.7500 0.7500
B1 0.0000 0.0000 0.0000

Properties
Calculated volume in A^3/atom: 15.9
Crystal system: cubic
SG: Fm-3m

*two*
Cu2BiB | GGA-PBE | relaxed

Cell: 4.5257 4.5257 7.4461 Å, 72.31 72.31 90.00°
Fractional positions:
B1 0.5000 0.5000 0.0000
B2 0.2500 0.7500 0.5000
Bi1 0.0000 0.0000 0.0000
Bi2 0.7500 0.2500 0.5000
Cu1 0.4430 0.1250 0.2500
Cu2 0.3750 0.5570 0.7500
Cu3 0.3070 0.6250 0.2500
Cu4 0.8750 0.6930 0.7500

Properties
Calculated volume in A^3/atom: 17.2
Crystal system: tetragonal
SG: I-42d

Energies, relative to the best one, in meV per atom: *one* 487; *two* 0.

*one*
TaCuBi2B | GGA-PBE | relaxed

Cell: 5.3541 3.7099 5.3541 Å, 90.00 90.00 90.00°
Last column: magnetic moment on the atom in μB.
Fractional positions:
Bi1 0.0000 0.0000 0.5000  -0.03
Bi2 0.5000 0.0000 0.0000  -0.01
Cu1 0.0000 0.0000 0.0000  0.01
Ta1 0.5000 0.5000 0.5000  0.79
B1 0.0000 0.5000 0.0000  0.00

Properties
Calculated volume in A^3/atom: 21.3
Crystal system: tetragonal
SG: P4/mmm

*two*
TaCuBi2B | GGA-PBE | relaxed

Cell: 5.0658 4.8895 5.0658 Å, 90.00 90.00 90.00°
Last column: magnetic moment on the atom in μB.
Fractional positions:
Cu1 0.0000 0.0000 0.0000  0.02
Bi1 0.5000 0.0000 0.0000  -0.03
Bi2 0.0000 0.0000 0.5000  -0.01
B1 0.5000 0.5000 0.5000  -0.01
Ta1 0.0000 0.5000 0.0000  0.85

Properties
Calculated volume in A^3/atom: 25.1
Crystal system: tetragonal
SG: P4/mmm

Energies, relative to the best one, in meV per atom: *one* 0; *two* 708.